MnBi: optimized geometry, PBE.

Unit cell a=6.3056 b=6.3056 c=4.9723 alpha=90.00 beta=90.00 gamma=90.00
Positions (direct):
Mn 0.3928 0.6072 0.0000
Mn 0.8928 0.8928 0.5000
Mn 0.1072 0.1072 0.5000
Mn 0.6072 0.3928 0.0000
Bi 0.2077 0.2077 0.0000
Bi 0.7077 0.2923 0.5000
Bi 0.2923 0.7077 0.5000
Bi 0.7923 0.7923 0.0000

DFT formation energy in kJ/mol of formula units: 144
Space group: P4_2/mnm
DOS(E_F) in states/eV/cell: 9.8
Crystal system: tetragonal